Record 1
Computed, not measured: an optimized crystal structure of AgBAs at the PBE level of DFT.

Summary:
ΔE to the lowest computed polymorph ... 0.000 eV per atom
Volume ... 17.55 Å³ per atom

a b c (Å): 4.2071 4.2071 4.2071
angles (deg): 60.00 60.00 60.00
Atoms (fractional coordinates):
Ag 0.2500 0.2500 0.2500
As 0.0000 0.0000 0.0000
B 0.7500 0.7500 0.7500


Record 2
Computed, not measured: an optimized crystal structure of AgBAs at the PBE level of DFT.

Summary:
ΔE to the lowest computed polymorph ... 0.023 eV per atom
Volume ... 17.13 Å³ per atom

a b c (Å): 4.1734 4.1734 4.1734
angles (deg): 60.00 60.00 60.00
Atoms (fractional coordinates):
Ag 0.0000 0.0000 0.0000
As 0.2500 0.2500 0.2500
B 0.7500 0.7500 0.7500


Q: What is the ΔE to the lowest computed polymorph in the first record?
A: 0.000 eV per atom


Please write out number 2 again, unchanged.
Computed, not measured: an optimized crystal structure of AgBAs at the PBE level of DFT.

Summary:
ΔE to the lowest computed polymorph ... 0.023 eV per atom
Volume ... 17.13 Å³ per atom

a b c (Å): 4.1734 4.1734 4.1734
angles (deg): 60.00 60.00 60.00
Atoms (fractional coordinates):
Ag 0.0000 0.0000 0.0000
As 0.2500 0.2500 0.2500
B 0.7500 0.7500 0.7500


Q: Number 1 is which compound?
A: AgBAs


Q: Which of these has the lowest volume?
A: number 2